# CeNiBi2O6 | Alexandria | PBE+U | optimized geometry
data_CeNiBi2O6
_space_group_name_H-M_alt 'P 1 21/c 1'
_space_group_IT_number 14
_space_group_name_Hall '-P 2ybc'
_cell_length_a 5.645
_cell_length_b 6.118
_cell_length_c 9.955
_cell_angle_alpha 90.00
_cell_angle_beta 124.47
_cell_angle_gamma 90.00
loop_
_atom_site_label
_atom_site_fract_x
_atom_site_fract_y
_atom_site_fract_z
Ce1 0.000 0.000 0.000
Ni1 0.500 0.000 0.500
Bi1 0.232 0.046 0.742
O1 0.125 0.177 0.446
O2 0.267 0.690 0.437
O3 0.392 0.049 0.261
# * spin magnetization: 4.00 μB per cell
# * uncorrected energy: -127.03 eV for the cell shown